Material: TlRhSe2
Method: DFT, PBE-GGA
State: optimized geometry

Raw formation energy = 0.313 eV per atom
Space-group type = No. 65
Calculated density = 9.26 g cm⁻³

Unit cell a=4.784 b=4.784 c=3.821 alpha=90.00 beta=90.00 gamma=107.48
Element x y z (fractional)
Se 0.500 0.500 0.000
Se 0.000 0.000 0.000
Rh 0.000 0.500 0.500
Tl 0.500 0.000 0.500